# GGA-PBE ZrCr2Ag, relaxed
# DOS at the Fermi energy (states/eV/cell): 11.14
# ΔH_f (0 K) (eV/atom): 0.40
# Energy above the most stable polymorph in this dataset (meV per atom): 237
# VASP energy (eV for the cell shown): -87.1
data_ZrCr2Ag
_space_group_name_H-M_alt 'R 3 m'
_space_group_IT_number 160
_space_group_name_Hall 'R 3 -2"'
_cell_length_a 2.9042
_cell_length_b 2.9042
_cell_length_c 26.8346
_cell_angle_alpha 90.00
_cell_angle_beta 90.00
_cell_angle_gamma 120.00
loop_
_atom_site_label
_atom_site_fract_x
_atom_site_fract_y
_atom_site_fract_z
Zr1 0.0000 0.0000 0.0000
Cr1 0.0000 0.0000 0.2414
Cr2 0.0000 0.0000 0.5183
Ag1 0.0000 0.0000 0.7645

# GGA-PBE Zr2CrAg2, relaxed
# DOS at the Fermi energy (states/eV/cell): 7.96
# ΔH_f (0 K) (eV/atom): 0.31
# VASP energy (eV for the cell shown): -61.8
data_Zr2CrAg2
_space_group_name_H-M_alt 'P 4/m b m'
_space_group_IT_number 127
_space_group_name_Hall '-P 4 2ab'
_cell_length_a 7.584
_cell_length_b 7.584
_cell_length_c 3.539
_cell_angle_alpha 90.00
_cell_angle_beta 90.00
_cell_angle_gamma 90.00
loop_
_atom_site_label
_atom_site_fract_x
_atom_site_fract_y
_atom_site_fract_z
Zr1 0.174 0.326 0.000
Cr1 0.000 0.000 0.500
Ag1 0.128 0.628 0.500

# GGA-PBE ZrCr2Ag, relaxed
# DOS at the Fermi energy (states/eV/cell): 7.16
# ΔH_f (0 K) (eV/atom): 0.33
# Energy above the most stable polymorph in this dataset (meV per atom): 162
# VASP energy (eV for the cell shown): -58.7
data_ZrCr2Ag
_space_group_name_H-M_alt 'I m m 2'
_space_group_IT_number 44
_cell_length_a 3.538
_cell_length_b 4.496
_cell_length_c 8.429
_cell_angle_alpha 90.00
_cell_angle_beta 90.00
_cell_angle_gamma 90.00
loop_
_space_group_symop_operation_xyz
'x,y,z'
'-x,-y,z'
'-x,y,z'
'x,-y,z'
'x+1/2,y+1/2,z+1/2'
'-x+1/2,-y+1/2,z+1/2'
'-x+1/2,y+1/2,z+1/2'
'x+1/2,-y+1/2,z+1/2'
loop_
_atom_site_label
_atom_site_fract_x
_atom_site_fract_y
_atom_site_fract_z
Zr1 0.000 0.000 0.000
Cr1 0.000 0.000 0.452
Cr2 0.000 0.500 0.763
Ag1 0.000 0.500 0.225

# GGA-PBE ZrCr2Ag, relaxed
# DOS at the Fermi energy (states/eV/cell): 9.80
# ΔH_f (0 K) (eV/atom): 0.67
# Energy above the most stable polymorph in this dataset (meV per atom): 504
# VASP energy (eV for the cell shown): -55.9
data_ZrCr2Ag
_space_group_name_H-M_alt 'C m m m'
_space_group_IT_number 65
_space_group_name_Hall '-C 2 2'
_cell_length_a 5.553
_cell_length_b 8.674
_cell_length_c 2.641
_cell_angle_alpha 90.00
_cell_angle_beta 90.00
_cell_angle_gamma 90.00
loop_
_atom_site_label
_atom_site_fract_x
_atom_site_fract_y
_atom_site_fract_z
Zr1 0.000 0.000 0.000
Cr1 0.250 0.250 0.500
Ag1 0.000 0.500 0.000

# GGA-PBE ZrCr2Ag, relaxed
# DOS at the Fermi energy (states/eV/cell): 3.44
# ΔH_f (0 K) (eV/atom): 0.17
# Energy above the most stable polymorph in this dataset (meV per atom): 0
# VASP energy (eV for the cell shown): -30.0
data_ZrCr2Ag
_space_group_name_H-M_alt 'P 4 m m'
_space_group_IT_number 99
_cell_length_a 2.992
_cell_length_b 2.992
_cell_length_c 7.311
_cell_angle_alpha 90.00
_cell_angle_beta 90.00
_cell_angle_gamma 90.00
loop_
_space_group_symop_operation_xyz
'x,y,z'
'-y,x,z'
'-x,-y,z'
'y,-x,z'
'-x,y,z'
'y,x,z'
'x,-y,z'
'-y,-x,z'
loop_
_atom_site_label
_atom_site_fract_x
_atom_site_fract_y
_atom_site_fract_z
Zr1 0.000 0.000 0.000
Cr1 0.000 0.000 0.573
Cr2 0.500 0.500 0.737
Ag1 0.500 0.500 0.313

# GGA-PBE ZrCr2Ag, relaxed
# DOS at the Fermi energy (states/eV/cell): 21.32
# ΔH_f (0 K) (eV/atom): 0.89
# Energy above the most stable polymorph in this dataset (meV per atom): 723
# VASP energy (eV for the cell shown): -108.4
data_ZrCr2Ag
_space_group_name_H-M_alt 'I -4 2 d'
_space_group_IT_number 122
_space_group_name_Hall 'I -4 2bw'
_cell_length_a 3.833
_cell_length_b 3.833
_cell_length_c 19.012
_cell_angle_alpha 90.00
_cell_angle_beta 90.00
_cell_angle_gamma 90.00
loop_
_atom_site_label
_atom_site_fract_x
_atom_site_fract_y
_atom_site_fract_z
Zr1 0.000 0.000 0.000
Cr1 0.193 0.250 0.125
Ag1 0.000 0.000 0.500

# GGA-PBE ZrCr2Ag, relaxed
# DOS at the Fermi energy (states/eV/cell): 9.93
# ΔH_f (0 K) (eV/atom): 0.62
# Energy above the most stable polymorph in this dataset (meV per atom): 457
# VASP energy (eV for the cell shown): -56.3
data_ZrCr2Ag
_space_group_name_H-M_alt 'C m m m'
_space_group_IT_number 65
_space_group_name_Hall '-C 2 2'
_cell_length_a 3.286
_cell_length_b 4.320
_cell_length_c 8.916
_cell_angle_alpha 90.00
_cell_angle_beta 90.00
_cell_angle_gamma 90.00
loop_
_atom_site_label
_atom_site_fract_x
_atom_site_fract_y
_atom_site_fract_z
Zr1 0.000 0.000 0.000
Cr1 0.000 0.500 0.253
Ag1 0.000 0.000 0.500

# GGA-PBE ZrCr2Ag, relaxed
# DOS at the Fermi energy (states/eV/cell): 27.69
# ΔH_f (0 K) (eV/atom): 0.52
# Energy above the most stable polymorph in this dataset (meV per atom): 358
# VASP energy (eV for the cell shown): -114.2
data_ZrCr2Ag
_space_group_name_H-M_alt 'F m -3 m'
_space_group_IT_number 225
_space_group_name_Hall '-F 4 2 3'
_cell_length_a 6.518
_cell_length_b 6.518
_cell_length_c 6.518
_cell_angle_alpha 90.00
_cell_angle_beta 90.00
_cell_angle_gamma 90.00
loop_
_atom_site_label
_atom_site_fract_x
_atom_site_fract_y
_atom_site_fract_z
Zr1 0.000 0.000 0.000
Cr1 0.250 0.250 0.250
Ag1 0.000 0.000 0.500